The following is a DFT calculation (PBE-GGA) of a relaxed structure of AcZn3Ag10.

Properties
- formation energy from the elements (eV per atom) = 0.045

a = 13.178 Å, b = 13.178 Å, c = 13.178 Å
α = 90.00°, β = 90.00°, γ = 90.00°
Space group Fm-3m (No. 225)
Asymmetric unit:
1 Ac 0.250 0.250 0.250 x8
2 Zn 0.000 0.000 0.236 x24
3 Ag 0.000 0.174 0.326 x48
4 Ag 0.112 0.112 0.112 x32



The following is a DFT calculation (PBE-GGA) of a relaxed structure of Ac4Zn3Ag2.

Properties
- formation energy from the elements (eV per atom) = -0.172

a = 5.2819 Å, b = 5.2819 Å, c = 10.9315 Å
α = 90.00°, β = 90.00°, γ = 120.00°
Space group P-3m1 (No. 164)
Asymmetric unit:
1 Ac 0.0000 0.0000 0.1607 x2
2 Ac 0.3333 0.6667 0.3963 x2
3 Zn 0.0000 0.0000 0.5000 x1
4 Zn 0.3333 0.6667 0.9898 x2
5 Ag 0.3333 0.6667 0.7102 x2



The following is a DFT calculation (PBE-GGA) of a relaxed structure of Ac5Zn2Ag.

Properties
- formation energy from the elements (eV per atom) = -0.161

a = 7.966 Å, b = 7.966 Å, c = 17.278 Å
α = 90.00°, β = 90.00°, γ = 90.00°
Space group I4/mcm (No. 140)
Asymmetric unit:
1 Ac 0.000 0.000 0.000 x4
2 Ac 0.172 0.328 0.149 x16
3 Zn 0.115 0.385 0.500 x8
4 Ag 0.000 0.000 0.250 x4



The following is a DFT calculation (PBE-GGA) of a relaxed structure of Ac3ZnAg8.

Properties
- formation energy from the elements (eV per atom) = -0.137

a = 5.8664 Å, b = 5.8664 Å, c = 28.7422 Å
α = 90.00°, β = 90.00°, γ = 120.00°
Space group R3m (No. 160, hexagonal axes)
Asymmetric unit:
1 Ac 0.0000 0.0000 0.0000 x3
2 Ac 0.0000 0.0000 0.1283 x3
3 Ac 0.0000 0.0000 0.6113 x3
4 Zn 0.0000 0.0000 0.4863 x3
5 Ag 0.0000 0.0000 0.3085 x3
6 Ag 0.0000 0.0000 0.8104 x3
7 Ag 0.0007 0.5003 0.0607 x9
8 Ag 0.0061 0.5030 0.5583 x9



The following is a DFT calculation (PBE-GGA) of a relaxed structure of Ac2Zn10Ag.

Properties
- formation energy from the elements (eV per atom) = -0.077

a = 6.215 Å, b = 16.162 Å, c = 5.731 Å
α = 90.00°, β = 90.00°, γ = 90.00°
Space group Pbam (No. 55)
Asymmetric unit:
1 Ac 0.208 0.135 0.000 x4
2 Zn 0.035 0.842 0.500 x4
3 Zn 0.067 0.300 0.500 x4
4 Zn 0.126 0.564 0.500 x4
5 Zn 0.202 0.427 0.215 x8
6 Ag 0.000 0.000 0.500 x2



The following is a DFT calculation (PBE-GGA) of a relaxed structure of Ac4Zn3Ag.

Properties
- ΔE to the lowest computed polymorph (meV per atom) = 28
- formation energy from the elements (eV per atom) = -0.222

a = 4.088 Å, b = 4.772 Å, c = 12.605 Å
α = 90.00°, β = 90.00°, γ = 90.00°
Space group Pmm2 (No. 25)
Asymmetric unit:
1 Ac 0.000 0.000 0.000 x1
2 Ac 0.000 0.500 0.296 x1
3 Ac 0.500 0.000 0.497 x1
4 Ac 0.500 0.500 0.796 x1
5 Zn 0.000 0.500 0.581 x1
6 Zn 0.500 0.000 0.210 x1
7 Zn 0.500 0.500 0.085 x1
8 Ag 0.000 0.000 0.711 x1



The following is a DFT calculation (PBE-GGA) of a relaxed structure of AcAl6.

Properties
- ΔE to the lowest computed polymorph (meV per atom) = 0
- formation energy from the elements (eV per atom) = -0.153

a = 6.121 Å, b = 6.121 Å, c = 8.143 Å
α = 90.00°, β = 90.00°, γ = 90.00°
Space group P4/nbm (No. 125, origin choice 2)
Asymmetric unit:
1 Ac 0.250 0.750 0.000 x2
2 Al 0.060 0.560 0.354 x8
3 Al 0.250 0.250 0.165 x4



The following is a DFT calculation (PBE-GGA) of a relaxed structure of AcAl4.

Properties
- ΔE to the lowest computed polymorph (meV per atom) = 1781
- formation energy from the elements (eV per atom) = 1.463

a = 6.015 Å, b = 6.015 Å, c = 6.015 Å
α = 90.00°, β = 90.00°, γ = 90.00°
Space group Pm-3m (No. 221)
Asymmetric unit:
1 Ac 0.000 0.000 0.000 x1
2 Al 0.000 0.000 0.500 x3
3 Al 0.500 0.500 0.500 x1